Entry 1:
Below is a relaxed RePbBr crystal, with properties calculated at the PBE-GGA level.

E_form (uncorrected) in eV/f.u.: 2.5
Size of the total moment in μB per cell: 0.0

Unit cell a=3.1028 b=5.6883 c=16.1882 alpha=90.00 beta=90.00 gamma=90.00
Space group Fmm2 (No. 42)
Unique sites:
Re: 0.0000 0.0000 0.0000
Pb: 0.0000 0.0000 0.3449
Br: 0.0000 0.0000 0.6218

Entry 2:
Below is a relaxed Ba2TeIr crystal, with properties calculated at the PBE-GGA level.

E_form (uncorrected) in eV/f.u.: -1.7
Size of the total moment in μB per cell: 1.0

Unit cell a=4.8311 b=4.8311 c=6.8133 alpha=90.00 beta=90.00 gamma=90.00
Space group P4mm (No. 99)
Unique sites:
Ba: 0.0000 0.0000 0.0000
Ba: 0.5000 0.5000 0.4974
Te: 0.5000 0.5000 0.9973
Ir: 0.0000 0.0000 0.4974